1.
Pu4AgPd2Pt | the Alexandria database | PBE | optimized geometry; D(E_F) = 4.47 states/eV/atom; M_tot = 22.81 μB per formula unit
1.0
-2.359 2.540 -3.677
-3.581 -2.274 -2.746
-7.628 2.552 3.184
Ag Pu Pt Pd
1 4 1 2
Cartesian
0.000 0.000 0.000
-8.174 1.241 -4.316
-8.775 2.278 0.258
-4.792 0.540 -3.497
-5.393 1.577 1.077
-6.784 1.409 -1.620
-10.328 2.180 -2.286
-3.240 0.638 -0.953

2.
PuAgPdPt | the Alexandria database | PBE | optimized geometry; D(E_F) = 2.31 states/eV/atom; M_tot = 5.04 μB per formula unit
1.0
-0.001 1.751 -4.440
-3.719 -0.803 -2.881
-2.941 3.577 -1.154
Pd Pu Pt Ag
1 1 1 1
Cartesian
-4.995 3.394 -6.356
0.000 0.000 0.000
-1.665 1.131 -2.119
-3.330 2.263 -4.237

3.
AgSbPdPt | the Alexandria database | PBE | optimized geometry; energy relative to the elements, uncorrected = -0.22 eV per atom; D(E_F) = 0.65 states/eV/atom; M_tot = 0.00 μB per formula unit
1.0
-2.494 -0.198 3.907
-2.009 -3.984 1.271
1.611 -2.345 3.664
Pd Ag Sb Pt
1 1 1 1
Cartesian
0.000 0.000 0.000
-2.168 -4.895 6.631
-0.723 -1.632 2.210
-1.446 -3.263 4.421

4.
ScAgPdPt | the Alexandria database | PBE | optimized geometry; D(E_F) = 0.26 states/eV/atom; M_tot = 0.00 μB per formula unit
1.0
3.884 0.000 0.000
0.000 4.061 0.000
0.000 0.000 4.235
Sc Pt Pd Ag
1 1 1 1
Cartesian
0.000 0.000 0.000
1.942 2.031 0.000
1.942 0.000 2.117
0.000 2.031 2.117

5.
Sc4AgPdPt2 | the Alexandria database | PBE | optimized geometry; D(E_F) = 0.61 states/eV/atom; M_tot = 0.00 μB per formula unit
1.0
4.704 0.000 0.000
2.352 4.074 0.000
2.352 1.358 7.699
Pt Ag Pd Sc
2 1 1 4
Cartesian
7.056 4.074 5.779
2.352 1.358 1.920
0.000 0.000 0.000
4.704 2.716 3.850
4.704 2.716 1.018
2.352 1.358 4.765
7.056 4.074 2.935
4.704 2.716 6.681

6.
Sc4AgPd2Pt | the Alexandria database | PBE | optimized geometry; D(E_F) = 0.53 states/eV/atom; M_tot = 0.00 μB per formula unit
1.0
-1.142 -2.066 -4.083
1.841 -4.197 -1.116
-5.705 -5.607 1.709
Sc Ag Pd Pt
4 1 2 1
Cartesian
-1.585 -7.616 -3.875
-3.422 -4.254 0.385
-0.339 -4.652 -3.000
-4.668 -7.217 -0.490
0.000 0.000 0.000
-3.785 -8.920 -2.600
-1.222 -2.950 -0.890
-2.504 -5.935 -1.745

7.
AgSnPdPt | the Alexandria database | PBE | optimized geometry; D(E_F) = 0.45 states/eV/atom; M_tot = 0.00 μB per formula unit
1.0
-1.240 3.987 1.947
-2.889 2.836 -2.198
-4.300 0.565 1.554
Sn Pt Pd Ag
1 1 1 1
Cartesian
-4.215 3.694 0.651
-6.322 5.541 0.977
-2.107 1.847 0.326
0.000 0.000 0.000

8.
ThAgPdPt | the Alexandria database | PBE | optimized geometry; D(E_F) = 0.70 states/eV/atom; M_tot = 0.00 μB per formula unit
1.0
4.880 0.000 0.000
2.440 4.227 0.000
2.440 1.409 3.985
Th Pd Ag Pt
1 1 1 1
Cartesian
2.440 1.409 0.996
4.880 2.818 1.992
7.321 4.227 2.989
0.000 0.000 0.000

9.
TlAgPdPt | the Alexandria database | PBE | optimized geometry; D(E_F) = 0.54 states/eV/atom; M_tot = 0.00 μB per formula unit
1.0
-0.944 -2.789 -3.601
3.377 -2.582 -1.890
-0.005 -4.616 0.572
Ag Tl Pt Pd
1 1 1 1
Cartesian
1.214 -4.994 -2.460
0.000 0.000 0.000
1.821 -7.490 -3.689
0.607 -2.497 -1.230

10.
ZnAgPdPt | the Alexandria database | PBE | optimized geometry; D(E_F) = 0.37 states/eV/atom; M_tot = 0.00 μB per formula unit
1.0
-1.739 2.014 -1.098
-2.285 -1.643 0.605
-0.529 3.224 6.749
Pd Zn Pt Ag
1 1 1 1
Cartesian
-2.434 2.755 5.134
-0.303 1.848 3.870
-2.195 1.299 2.085
-0.036 0.221 0.464

11.
ZnAg2Pd5Pt | the Alexandria database | PBE | optimized geometry; D(E_F) = 0.76 states/eV/atom; M_tot = 0.00 μB per formula unit
1.0
-1.070 0.526 -6.579
-0.944 -6.609 -0.375
-5.804 3.948 4.657
Ag Pd Pt Zn
4 10 2 2
Cartesian
-1.526 -3.706 -5.959
-1.217 -5.555 -2.760
-0.797 -0.528 -4.194
-0.489 -2.376 -0.994
-3.192 -1.171 -4.885
-5.221 -1.117 -0.725
-4.221 2.374 2.361
-3.002 -4.355 -1.344
-2.597 -1.017 -1.572
0.000 0.000 0.000
-1.007 -3.041 -3.477
-4.816 2.220 -0.952
-3.597 -4.509 -4.657
-4.626 -0.963 2.589
-3.405 0.453 0.590
-4.413 -2.588 -2.887
-3.940 0.716 -2.699
-3.878 -2.851 0.403

12.
ZrAgPdPt | the Alexandria database | PBE | optimized geometry; D(E_F) = 0.81 states/eV/atom; M_tot = 0.00 μB per formula unit
1.0
-2.494 1.141 3.732
0.080 -2.709 3.756
2.126 1.445 3.853
Ag Pt Zr Pd
1 1 1 1
Cartesian
0.000 0.000 0.000
-0.216 -0.092 8.506
-0.144 -0.061 5.670
-0.072 -0.031 2.835

| no. | DFT total energy (eV per atom) |
| --- | --- |
| 1 | -9.942 |
| 2 | -7.490 |
| 3 | -4.768 |
| 4 | -5.852 |
| 5 | -6.619 |
| 6 | -6.418 |
| 7 | -4.840 |
| 8 | -6.056 |
| 9 | -4.174 |
| 10 | -4.149 |
| 11 | -4.136 |
| 12 | -6.242 |